# PBE Zr2PaN, relaxed
data_Zr2PaN
_space_group_name_H-M_alt 'R -3 m'
_space_group_IT_number 166
_space_group_name_Hall '-R 3 2"'
_cell_length_a 3.2045
_cell_length_b 3.2045
_cell_length_c 26.1366
_cell_angle_alpha 90.00
_cell_angle_beta 90.00
_cell_angle_gamma 120.00
loop_
_atom_site_label
_atom_site_type_symbol
_atom_site_fract_x
_atom_site_fract_y
_atom_site_fract_z
Zr1 Zr 0.0000 0.0000 0.1174
Pa1 Pa 0.0000 0.0000 0.0000
N1 N 0.0000 0.0000 0.5000
# * calculated volume: 19.37 A^3/atom
# * spin magnetization: 0.6 μB/f.u.
# * uncorrected formation energy: -226.2 kJ/mol of formula units